(1)
Below is crystalline Mn2CoTc at its relaxed geometry, with properties calculated at the PBE level.

Cell and atoms, written as CIF:
```
data_Mn2CoTc
_space_group_name_H-M_alt 'P 1'
_space_group_IT_number 1
_cell_length_a 4.119
_cell_length_b 4.119
_cell_length_c 4.119
_cell_angle_alpha 60.00
_cell_angle_beta 60.00
_cell_angle_gamma 60.00
loop_
_space_group_symop_operation_xyz
'x,y,z'
loop_
_atom_site_label
_atom_site_type_symbol
_atom_site_fract_x
_atom_site_fract_y
_atom_site_fract_z
Tc1 Tc 0.750 0.750 0.750
Co1 Co 0.500 0.500 0.500
Mn1 Mn 0.000 0.000 0.000
Mn2 Mn 0.250 0.250 0.250
```

* magnetization: 5.53 μB per cell
* ΔH_f (0 K): 0.59 eV per formula unit



(2)
Below is crystalline Mn2CoTc at its relaxed geometry, with properties calculated at the PBE level.

Cell and atoms, written as CIF:
```
data_Mn2CoTc
_space_group_name_H-M_alt 'P 1'
_space_group_IT_number 1
_cell_length_a 3.577
_cell_length_b 3.630
_cell_length_c 3.630
_cell_angle_alpha 90.00
_cell_angle_beta 90.00
_cell_angle_gamma 90.00
loop_
_space_group_symop_operation_xyz
'x,y,z'
loop_
_atom_site_label
_atom_site_type_symbol
_atom_site_fract_x
_atom_site_fract_y
_atom_site_fract_z
Co1 Co 0.500 0.000 0.500
Tc1 Tc 0.500 0.500 0.000
Mn1 Mn 0.000 0.500 0.500
Mn2 Mn 0.000 0.000 0.000
```

* magnetization: 1.47 μB per cell
* ΔH_f (0 K): 0.16 eV per formula unit